# 1
# PBE Si4Br3, relaxed
data_Si4Br3
_space_group_name_H-M_alt 'P 6/m m m'
_space_group_IT_number 191
_space_group_name_Hall '-P 6 2'
_cell_length_a 7.0961
_cell_length_b 7.0961
_cell_length_c 4.2136
_cell_angle_alpha 90.00
_cell_angle_beta 90.00
_cell_angle_gamma 120.00
loop_
_atom_site_label
_atom_site_type_symbol
_atom_site_fract_x
_atom_site_fract_y
_atom_site_fract_z
_atom_site_occupancy
Si1 Si 0.0000 0.0000 0.2432 1
Si2 Si 0.3333 0.6667 0.0000 1
Br1 Br 0.0000 0.5000 0.5000 1
# ρ ... 3.2 g cm⁻³
# Calculated volume ... 184 Å³/cell
# Density of states at the Fermi level ... 2.92 states/eV per cell
# Energy above the most stable polymorph in this dataset ... 0.753 eV/atom
# Uncorrected formation energy ... 0.760 eV/atom



# 2
# PBE SiBr, relaxed
data_SiBr
_space_group_name_H-M_alt 'C 1 m 1'
_space_group_IT_number 8
_cell_length_a 15.778
_cell_length_b 3.674
_cell_length_c 7.058
_cell_angle_alpha 90.00
_cell_angle_beta 109.85
_cell_angle_gamma 90.00
loop_
_space_group_symop_operation_xyz
'x,y,z'
'x,-y,z'
'x+1/2,y+1/2,z'
'x+1/2,-y+1/2,z'
loop_
_atom_site_label
_atom_site_type_symbol
_atom_site_fract_x
_atom_site_fract_y
_atom_site_fract_z
_atom_site_occupancy
Si1 Si 0.000 0.000 0.000 1
Si2 Si 0.016 0.500 0.763 1
Si3 Si 0.417 0.000 0.059 1
Br1 Br 0.130 0.000 0.263 1
Br2 Br 0.276 0.000 0.832 1
Br3 Br 0.412 0.500 0.511 1
# ρ ... 2.8 g cm⁻³
# Calculated volume ... 385 Å³/cell
# Density of states at the Fermi level ... 5.77 states/eV per cell
# Energy above the most stable polymorph in this dataset ... 0.381 eV/atom
# Uncorrected formation energy ... -0.036 eV/atom



# 3
# PBE SiBr4, relaxed
data_SiBr4
_space_group_name_H-M_alt 'I 4/m'
_space_group_IT_number 87
_space_group_name_Hall '-I 4'
_cell_length_a 10.383
_cell_length_b 10.383
_cell_length_c 3.153
_cell_angle_alpha 90.00
_cell_angle_beta 90.00
_cell_angle_gamma 90.00
loop_
_atom_site_label
_atom_site_type_symbol
_atom_site_fract_x
_atom_site_fract_y
_atom_site_fract_z
_atom_site_occupancy
Si1 Si 0.000 0.000 0.000 1
Br1 Br 0.045 0.216 0.500 1
# ρ ... 3.4 g cm⁻³
# Calculated volume ... 340 Å³/cell
# Density of states at the Fermi level ... 7.94 states/eV per cell
# Energy above the most stable polymorph in this dataset ... 0.945 eV/atom
# Uncorrected formation energy ... 0.144 eV/atom



The highest uncorrected formation energy belongs to which entry?
Si4Br3



Which of these has the highest calculated volume?
SiBr



Number 1 is which compound?
Si4Br3